This record from the Alexandria database describes a geometry-optimized HgOsPt structure. The functional is PBEsol.

Unit cell a=6.1153 b=6.1153 c=6.1153 alpha=90.00 beta=90.00 gamma=90.00
Space group F-43m (No. 216)
Asymmetric unit:
Hg1 0.0000 0.0000 0.0000 [4 per cell]
Os1 0.0000 0.0000 0.5000 [4 per cell]
Pt1 0.2500 0.2500 0.2500 [4 per cell]

***

This record from the Alexandria database describes a geometry-optimized Hg2OsPt structure. The functional is PBEsol.

Unit cell a=2.8740 b=2.8740 c=8.1971 alpha=90.00 beta=90.00 gamma=90.00
Space group P4/mmm (No. 123)
Asymmetric unit:
Hg1 0.0000 0.0000 0.2502 [2 per cell]
Os1 0.5000 0.5000 0.0000 [1 per cell]
Pt1 0.5000 0.5000 0.5000 [1 per cell]

Output
* E above lowest polymorph: 181.5 meV/atom

***

This record from the Alexandria database describes a geometry-optimized Hg2OsPt structure. The functional is PBEsol.

Unit cell a=4.1704 b=4.1704 c=7.8129 alpha=90.00 beta=90.00 gamma=90.00
Space group I-4m2 (No. 119)
Asymmetric unit:
Hg1 0.0000 0.0000 0.0000 [2 per cell]
Hg2 0.0000 0.5000 0.2500 [2 per cell]
Os1 0.0000 0.0000 0.5000 [2 per cell]
Pt1 0.0000 0.5000 0.7500 [2 per cell]

Output
* E above lowest polymorph: 287.4 meV/atom

***

This record from the Alexandria database describes a geometry-optimized Hg2OsPt structure. The functional is PBEsol.

Unit cell a=2.8887 b=2.8887 c=28.6250 alpha=90.00 beta=90.00 gamma=120.00
Space group R3m (No. 160, hexagonal axes)
Asymmetric unit:
Hg1 0.0000 0.0000 0.0000 [3 per cell]
Hg2 0.0000 0.0000 0.2390 [3 per cell]
Os1 0.0000 0.0000 0.4886 [3 per cell]
Pt1 0.0000 0.0000 0.7508 [3 per cell]

Output
* E above lowest polymorph: 0.0 meV/atom

***

This record from the Alexandria database describes a geometry-optimized Hg2OsPt structure. The functional is PBEsol.

Unit cell a=2.8950 b=4.9151 c=9.5846 alpha=90.00 beta=90.00 gamma=90.00
Space group Cmmm (No. 65)
Asymmetric unit:
Hg1 0.0000 0.0000 0.2495 [4 per cell]
Os1 0.0000 0.5000 0.0000 [2 per cell]
Pt1 0.0000 0.5000 0.5000 [2 per cell]

Output
* E above lowest polymorph: 130.2 meV/atom

***

This record from the Alexandria database describes a geometry-optimized ReHg2Os structure. The functional is PBEsol.

Unit cell a=4.1651 b=4.1651 c=7.6720 alpha=90.00 beta=90.00 gamma=90.00
Space group I-4m2 (No. 119)
Asymmetric unit:
Re1 0.0000 0.0000 0.0000 [2 per cell]
Hg1 0.0000 0.0000 0.5000 [2 per cell]
Hg2 0.0000 0.5000 0.2500 [2 per cell]
Os1 0.0000 0.5000 0.7500 [2 per cell]

Output
* E above lowest polymorph: 56.3 meV/atom

***

This record from the Alexandria database describes a geometry-optimized ReHg3Os structure. The functional is PBEsol.

Unit cell a=5.1134 b=5.1134 c=5.1134 alpha=90.00 beta=90.00 gamma=90.00
Space group Pm-3m (No. 221)
Asymmetric unit:
Re1 0.0000 0.0000 0.0000 [1 per cell]
Hg1 0.0000 0.5000 0.5000 [3 per cell]
Os1 0.5000 0.5000 0.5000 [1 per cell]

***

This record from the Alexandria database describes a geometry-optimized ReHg2Os structure. The functional is PBEsol.

Unit cell a=2.8454 b=4.8617 c=4.8899 alpha=90.00 beta=90.00 gamma=90.00
Space group Pmmm (No. 47)
Asymmetric unit:
Re1 0.0000 0.0000 0.0000 [1 per cell]
Hg1 0.0000 0.5000 0.5000 [1 per cell]
Hg2 0.5000 0.0000 0.5000 [1 per cell]
Os1 0.5000 0.5000 0.0000 [1 per cell]

Output
* E above lowest polymorph: 0.0 meV/atom

***

This record from the Alexandria database describes a geometry-optimized HgOs2Rh structure. The functional is PBEsol.

Unit cell a=3.8983 b=3.8983 c=7.8677 alpha=90.00 beta=90.00 gamma=90.00
Space group I-4m2 (No. 119)
Asymmetric unit:
Hg1 0.0000 0.0000 0.0000 [2 per cell]
Os1 0.0000 0.0000 0.5000 [2 per cell]
Os2 0.0000 0.5000 0.2500 [2 per cell]
Rh1 0.0000 0.5000 0.7500 [2 per cell]

***

This record from the Alexandria database describes a geometry-optimized HgOs2Rh structure. The functional is PBEsol.

Unit cell a=2.7846 b=2.7846 c=7.8462 alpha=90.00 beta=90.00 gamma=90.00
Space group P4mm (No. 99)
Asymmetric unit:
Hg1 0.0000 0.0000 0.0000 [1 per cell]
Os1 0.0000 0.0000 0.4979 [1 per cell]
Os2 0.5000 0.5000 0.2812 [1 per cell]
Rh1 0.5000 0.5000 0.7323 [1 per cell]

***

This record from the Alexandria database describes a geometry-optimized HgOs2Rh structure. The functional is PBEsol.

Unit cell a=3.8015 b=3.8015 c=4.1829 alpha=90.00 beta=90.00 gamma=90.00
Space group P4/mmm (No. 123)
Asymmetric unit:
Hg1 0.0000 0.0000 0.0000 [1 per cell]
Os1 0.0000 0.5000 0.5000 [2 per cell]
Rh1 0.5000 0.5000 0.0000 [1 per cell]

***

This record from the Alexandria database describes a geometry-optimized HgOs2Rh structure. The functional is PBEsol.

Unit cell a=2.7611 b=2.7611 c=27.4258 alpha=90.00 beta=90.00 gamma=120.00
Space group R-3m (No. 166, hexagonal axes)
Asymmetric unit:
Hg1 0.0000 0.0000 0.0000 [3 per cell]
Os1 0.0000 0.0000 0.2438 [6 per cell]
Rh1 0.0000 0.0000 0.5000 [3 per cell]

***

Number 1: total DFT energy (no corrections) -67.6 eV per cell. Number 2: total DFT energy (no corrections) -18.0 eV per cell. Number 3: total DFT energy (no corrections) -35.1 eV per cell. Number 4: total DFT energy (no corrections) -56.0 eV per cell. Number 5: total DFT energy (no corrections) -36.3 eV per cell. Number 6: total DFT energy (no corrections) -45.5 eV per cell. Number 7: total DFT energy (no corrections) -16.9 eV per cell. Number 8: total DFT energy (no corrections) -23.0 eV per cell. Number 9: total DFT energy (no corrections) -61.3 eV per cell. Number 10: total DFT energy (no corrections) -32.1 eV per cell. Number 11: total DFT energy (no corrections) -30.1 eV per cell. Number 12: total DFT energy (no corrections) -93.5 eV per cell.